[1]
An optimized crystal structure of Th2Be3Cu12Ni. Source: the Alexandria database, functional PBE.

Cell lengths 7.1951, 7.1951, 7.1951 Å; angles 63.63, 63.63, 63.63 degrees
Last column: nearest neighbours and their distance in Å.
Fractional positions:
Th  0.1092  0.1092  0.1092  6 Cu 2.82-2.87
Th  0.8908  0.8908  0.8908  6 Cu 2.82-2.87
Be  0.0000  0.5000  0.5000  6 Cu 2.08-2.10
Be  0.5000  0.0000  0.5000  6 Cu 2.08-2.10
Be  0.5000  0.5000  0.0000  6 Cu 2.08-2.10
Cu  0.1240  0.6206  0.6206  1 Be 2.08, 1 Ni 2.31
Cu  0.1645  0.1645  0.6028  2 Be 2.10
Cu  0.1645  0.6028  0.1645  2 Be 2.10
Cu  0.3794  0.3794  0.8760  1 Be 2.08, 1 Ni 2.31
Cu  0.3794  0.8760  0.3794  1 Be 2.08, 1 Ni 2.31
Cu  0.3972  0.8355  0.8355  2 Be 2.10
Cu  0.6028  0.1645  0.1645  2 Be 2.10
Cu  0.6206  0.1240  0.6206  1 Be 2.08, 1 Ni 2.31
Cu  0.6206  0.6206  0.1240  1 Be 2.08, 1 Ni 2.31
Cu  0.8355  0.3972  0.8355  2 Be 2.10
Cu  0.8355  0.8355  0.3972  2 Be 2.10
Cu  0.8760  0.3794  0.3794  1 Be 2.08, 1 Ni 2.31
Ni  0.5000  0.5000  0.5000  6 Cu 2.31



[2]
An optimized crystal structure of Ti2Be2CuNi5. Source: the Alexandria database, functional PBE.

Cell lengths 8.3660, 8.3660, 3.2313 Å; angles 90.00, 90.00, 90.00 degrees
Last column: nearest neighbours and their distance in Å.
Fractional positions:
Ti  0.1783  0.3217  0.0000  3 Be 2.42-2.52, 6 Ni 2.66-2.67
Ti  0.3217  0.8217  0.0000  3 Be 2.42-2.52, 6 Ni 2.66-2.67
Ti  0.6783  0.1783  0.0000  3 Be 2.42-2.52, 6 Ni 2.66-2.67
Ti  0.8217  0.6783  0.0000  3 Be 2.42-2.52, 6 Ni 2.66-2.67
Be  0.1173  0.6173  0.0000  6 Ni 2.13-2.20
Be  0.3827  0.1173  0.0000  6 Ni 2.13-2.20
Be  0.6173  0.8827  0.0000  6 Ni 2.13-2.20
Be  0.8827  0.3827  0.0000  6 Ni 2.13-2.20
Cu  0.0000  0.0000  0.0000  8 Ni 2.46
Cu  0.5000  0.5000  0.0000  8 Ni 2.46
Ni  0.0000  0.5000  0.5000  4 Be 2.13
Ni  0.0694  0.7893  0.5000  2 Be 2.20, 2 Cu 2.46
Ni  0.2107  0.0694  0.5000  2 Be 2.20, 2 Cu 2.46
Ni  0.2893  0.5694  0.5000  2 Be 2.20, 2 Cu 2.46
Ni  0.4306  0.2893  0.5000  2 Be 2.20, 2 Cu 2.46
Ni  0.5000  0.0000  0.5000  4 Be 2.13
Ni  0.5694  0.7107  0.5000  2 Be 2.20, 2 Cu 2.46
Ni  0.7107  0.4306  0.5000  2 Be 2.20, 2 Cu 2.46
Ni  0.7893  0.9306  0.5000  2 Be 2.20, 2 Cu 2.46
Ni  0.9306  0.2107  0.5000  2 Be 2.20, 2 Cu 2.46



[3]
An optimized crystal structure of Tm2Be3Cu12Ni. Source: the Alexandria database, functional PBE.

Cell lengths 6.2953, 6.2953, 6.2953 Å; angles 85.53, 85.53, 85.53 degrees
Last column: nearest neighbours and their distance in Å.
Fractional positions:
Tm  0.2221  0.2221  0.2221  9 Cu 2.75-2.90, 3 Be 2.79
Tm  0.7779  0.7779  0.7779  9 Cu 2.75-2.90, 3 Be 2.79
Be  0.0000  0.5000  0.5000  2 Cu 2.29
Be  0.5000  0.0000  0.5000  2 Cu 2.29
Be  0.5000  0.5000  0.0000  2 Cu 2.29
Cu  0.0867  0.0868  0.6374  4 Cu 2.38-2.56
Cu  0.0867  0.6374  0.0867  4 Cu 2.38-2.56
Cu  0.2084  0.6892  0.6892  1 Be 2.29, 5 Cu 2.38-2.56, 1 Ni 2.40
Cu  0.3108  0.3108  0.7916  1 Be 2.29, 5 Cu 2.38-2.56, 1 Ni 2.40
Cu  0.3108  0.7916  0.3108  1 Be 2.29, 5 Cu 2.38-2.56, 1 Ni 2.40
Cu  0.3626  0.9132  0.9132  4 Cu 2.38-2.56
Cu  0.6374  0.0867  0.0868  4 Cu 2.38-2.56
Cu  0.6892  0.2084  0.6892  1 Be 2.29, 5 Cu 2.38-2.56, 1 Ni 2.40
Cu  0.6892  0.6892  0.2084  1 Be 2.29, 5 Cu 2.38-2.56, 1 Ni 2.40
Cu  0.7916  0.3108  0.3108  1 Be 2.29, 5 Cu 2.38-2.56, 1 Ni 2.40
Cu  0.9132  0.3626  0.9132  4 Cu 2.38-2.56
Cu  0.9132  0.9132  0.3626  4 Cu 2.38-2.56
Ni  0.5000  0.5000  0.5000  6 Cu 2.40



[4]
An optimized crystal structure of BeVCuNi. Source: the Alexandria database, functional PBE.

Cell lengths 3.9802, 3.9802, 3.9802 Å; angles 60.00, 60.00, 60.00 degrees
Last column: nearest neighbours and their distance in Å.
Fractional positions:
Be  0.0000  0.0000  0.0000  4 Ni 2.44, 4 Cu 2.44
V  0.5000  0.5000  0.5000  4 Ni 2.44, 4 Cu 2.44
Cu  0.2500  0.2500  0.2500  4 Be 2.44, 4 V 2.44
Ni  0.7500  0.7500  0.7500  4 Be 2.44, 4 V 2.44



[5]
An optimized crystal structure of Zr2Be2CuNi5. Source: the Alexandria database, functional PBE.

Cell lengths 8.6558, 8.6558, 3.3154 Å; angles 90.00, 90.00, 90.00 degrees
Last column: nearest neighbours and their distance in Å.
Fractional positions:
Zr  0.1820  0.3180  0.0000  3 Be 2.52-2.62, 6 Ni 2.77-2.78
Zr  0.3180  0.8180  0.0000  3 Be 2.52-2.62, 6 Ni 2.77-2.78
Zr  0.6820  0.1820  0.0000  3 Be 2.52-2.62, 6 Ni 2.77-2.78
Zr  0.8180  0.6820  0.0000  3 Be 2.52-2.62, 6 Ni 2.77-2.78
Be  0.1124  0.6124  0.0000  6 Ni 2.15-2.28
Be  0.3876  0.1124  0.0000  6 Ni 2.15-2.28
Be  0.6124  0.8876  0.0000  6 Ni 2.15-2.28
Be  0.8876  0.3876  0.0000  6 Ni 2.15-2.28
Cu  0.0000  0.0000  0.0000  8 Ni 2.55
Cu  0.5000  0.5000  0.0000  8 Ni 2.55
Ni  0.0000  0.5000  0.5000  4 Be 2.15
Ni  0.0643  0.7860  0.5000  2 Be 2.28, 1 Ni 2.54, 2 Cu 2.55
Ni  0.2140  0.0643  0.5000  2 Be 2.28, 1 Ni 2.54, 2 Cu 2.55
Ni  0.2860  0.5643  0.5000  2 Be 2.28, 1 Ni 2.54, 2 Cu 2.55
Ni  0.4357  0.2860  0.5000  2 Be 2.28, 1 Ni 2.54, 2 Cu 2.55
Ni  0.5000  0.0000  0.5000  4 Be 2.15
Ni  0.5643  0.7140  0.5000  2 Be 2.28, 1 Ni 2.54, 2 Cu 2.55
Ni  0.7140  0.4357  0.5000  2 Be 2.28, 1 Ni 2.54, 2 Cu 2.55
Ni  0.7860  0.9357  0.5000  2 Be 2.28, 1 Ni 2.54, 2 Cu 2.55
Ni  0.9357  0.2140  0.5000  2 Be 2.28, 1 Ni 2.54, 2 Cu 2.55



[6]
An optimized crystal structure of Zr2BeCu6Ni. Source: the Alexandria database, functional PBE.

Cell lengths 5.9580, 5.9580, 5.9580 Å; angles 120.07, 120.07, 89.88 degrees
Last column: nearest neighbours and their distance in Å.
Fractional positions:
Zr  0.2500  0.7500  0.5000  12 Cu 2.98
Zr  0.7500  0.2500  0.5000  12 Cu 2.98
Be  0.0000  0.0000  0.0000  6 Cu 1.98-1.99
Cu  0.2356  0.2356  0.0000  1 Be 1.99
Cu  0.2355  0.2355  0.4710  1 Be 1.98
Cu  0.2355  0.7645  0.0000  1 Be 1.98
Cu  0.7645  0.2355  0.0000  1 Be 1.98
Cu  0.7644  0.7644  0.0000  1 Be 1.99
Cu  0.7645  0.7645  0.5290  1 Be 1.98
Ni  0.5000  0.5000  0.0000  6 Cu 2.23



Record order is preserved below.
Total DFT energy (no corrections): -74.8; -118.9; -72.2; -23.0; -122.0; -48.4 eV/cell